## Ta2GaSbW (GGA-PBEsol)

Data for a relaxed structure of Ta2GaSbW.

```
data_Ta2GaSbW
_chemical_formula_sum 'Ta2 Ga1 Sb1 W1'
_space_group_name_H-M_alt 'P 4/m m m'
_space_group_IT_number 123
_space_group_name_Hall '-P 4 2'
_cell_length_a 4.905
_cell_length_b 4.905
_cell_length_c 5.023
_cell_angle_alpha 90.00
_cell_angle_beta 90.00
_cell_angle_gamma 90.00
loop_
_atom_site_label
_atom_site_fract_x
_atom_site_fract_y
_atom_site_fract_z
_atom_site_occupancy
Ta1 0.000 0.500 0.000 1
Ga1 0.000 0.000 0.500 1
Sb1 0.500 0.500 0.500 1
W1 0.500 0.500 0.000 1
```

- Formation energy without anion corrections: 1.467 eV/atom
- N(E_F): 4.7 states/eV/cell